(1)
# DyHo2Tm4 PBE relaxed
# Calculated formation energy, eV/atom: 0.08
# Relative energy among the computed polymorphs, meV per atom: 79
data_DyHo2Tm4
_space_group_name_H-M_alt 'P 1'
_space_group_IT_number 1
_space_group_name_Hall 'P 1'
_cell_length_a 5.953
_cell_length_b 8.307
_cell_length_c 9.704
_cell_angle_alpha 85.21
_cell_angle_beta 72.81
_cell_angle_gamma 69.24
loop_
_atom_site_label
_atom_site_fract_x
_atom_site_fract_y
_atom_site_fract_z
_atom_site_occupancy
Dy1 0.000 0.000 0.000 1
Dy2 0.285 0.142 0.282 1
Ho1 0.166 0.642 0.782 1
Ho2 0.184 0.571 0.141 1
Ho3 0.885 0.502 0.500 1
Ho4 0.984 0.072 0.641 1
Tm1 0.357 0.717 0.420 1
Tm2 0.387 0.217 0.919 1
Tm3 0.428 0.284 0.564 1
Tm4 0.560 0.859 0.717 1
Tm5 0.607 0.784 0.065 1
Tm6 0.741 0.359 0.218 1
Tm7 0.775 0.427 0.863 1
Tm8 0.812 0.925 0.363 1

---

(2)
# SmTiRh2 PBE relaxed
# Calculated formation energy, eV/atom: -0.56
data_SmTiRh2
_space_group_name_H-M_alt 'F m -3 m'
_space_group_IT_number 225
_space_group_name_Hall '-F 4 2 3'
_cell_length_a 6.615
_cell_length_b 6.615
_cell_length_c 6.615
_cell_angle_alpha 90.00
_cell_angle_beta 90.00
_cell_angle_gamma 90.00
loop_
_atom_site_label
_atom_site_fract_x
_atom_site_fract_y
_atom_site_fract_z
_atom_site_occupancy
Sm1 0.000 0.000 0.000 1
Ti1 0.000 0.000 0.500 1
Rh1 0.250 0.250 0.250 1

---

(3)
# BeRh2 PBE relaxed
# Calculated formation energy, eV/atom: -0.11
data_BeRh2
_space_group_name_H-M_alt 'I 41/a m d'
_space_group_IT_number 141
_cell_length_a 3.692
_cell_length_b 3.692
_cell_length_c 22.399
_cell_angle_alpha 90.00
_cell_angle_beta 90.00
_cell_angle_gamma 90.00
loop_
_space_group_symop_operation_xyz
'x,y,z'
'-x,-y,-z'
'-y+1/4,x+3/4,z+1/4'
'y+1/4,-x+3/4,-z+1/4'
'-x+1/2,-y,z+1/2'
'x+1/2,y,-z+1/2'
'y+1/4,-x+1/4,z+3/4'
'-y+1/4,x+1/4,-z+3/4'
'x,-y,-z'
'-x,y,z'
'-y+1/4,-x+1/4,-z+3/4'
'y+1/4,x+1/4,z+3/4'
'-x+1/2,y,-z+1/2'
'x+1/2,-y,z+1/2'
'y+1/4,x+3/4,-z+1/4'
'-y+1/4,-x+3/4,z+1/4'
'x+1/2,y+1/2,z+1/2'
'-x+1/2,-y+1/2,-z+1/2'
'-y+3/4,x+1/4,z+3/4'
'y+3/4,-x+1/4,-z+3/4'
'-x,-y+1/2,z'
'x,y+1/2,-z'
'y+3/4,-x+3/4,z+1/4'
'-y+3/4,x+3/4,-z+1/4'
'x+1/2,-y+1/2,-z+1/2'
'-x+1/2,y+1/2,z+1/2'
'-y+3/4,-x+3/4,-z+1/4'
'y+3/4,x+3/4,z+1/4'
'-x,y+1/2,-z'
'x,-y+1/2,z'
'y+3/4,x+1/4,-z+3/4'
'-y+3/4,-x+1/4,z+3/4'
loop_
_atom_site_label
_atom_site_fract_x
_atom_site_fract_y
_atom_site_fract_z
_atom_site_occupancy
Be1 0.000 0.250 0.298 1
Rh1 0.000 0.250 0.128 1
Rh2 0.000 0.250 0.788 1